VASP calculation (PBE) on a relaxed structure of Ac3PbI3. Values from VASP.

Output
**V**: 44.1 Å³ per atom
**Total moment**: 0.0 μB per cell
**Uncorrected formation energy**: -1.08 eV per atom

```
&SYSTEM
  ibrav = 0, nat = 28, ntyp = 3
/
ATOMIC_SPECIES
Ac 227.00 Ac.upf
Pb 207.20 Pb.upf
I 126.90 I.upf
ATOMIC_POSITIONS crystal
Ac 0.984 0.492 0.242
Ac 0.508 0.016 0.258
Ac 0.250 0.008 0.492
Ac 0.992 0.750 0.008
Ac 0.992 0.242 0.484
Ac 0.758 0.008 0.016
Ac 0.742 0.484 0.492
Ac 0.758 0.750 0.242
Ac 0.516 0.258 0.008
Ac 0.250 0.242 0.258
Ac 0.742 0.258 0.750
Ac 0.508 0.492 0.750
Pb 0.750 0.500 0.000
Pb 0.500 0.250 0.500
Pb 0.750 0.250 0.250
Pb 0.000 0.000 0.250
I 0.244 0.994 0.989
I 0.750 0.756 0.744
I 0.489 0.744 0.994
I 0.006 0.250 0.994
I 0.256 0.744 0.250
I 0.494 0.506 0.250
I 0.244 0.250 0.756
I 0.256 0.511 0.506
I 0.750 0.994 0.506
I 0.011 0.506 0.756
I 0.006 0.756 0.511
I 0.494 0.989 0.744
CELL_PARAMETERS angstrom
-6.463 -8.582 -4.646
3.906 6.999 -8.531
9.101 -4.630 5.722
```

VASP calculation (PBE) on a relaxed structure of Ac5Pb4I. Values from VASP.

Output
**Energy above the lowest structure with this stoichiometry**: 0 meV per atom
**V**: 40.4 Å³ per atom
**Total moment**: 0.0 μB per cell
**Uncorrected formation energy**: -0.62 eV per atom

```
&SYSTEM
  ibrav = 0, nat = 10, ntyp = 3
/
ATOMIC_SPECIES
Ac 227.00 Ac.upf
Pb 207.20 Pb.upf
I 126.90 I.upf
ATOMIC_POSITIONS crystal
Ac 0.902 0.408 0.790
Ac 0.310 0.790 0.592
Ac 0.692 0.210 0.408
Ac 0.100 0.592 0.210
Ac 0.501 0.000 0.000
Pb 0.395 0.400 0.812
Pb 0.795 0.812 0.600
Pb 0.207 0.188 0.400
Pb 0.607 0.600 0.188
I 0.002 0.000 0.000
CELL_PARAMETERS angstrom
6.164 0.000 2.973
3.082 7.688 1.486
-0.258 0.000 8.411
```

VASP calculation (PBE) on a relaxed structure of Ac4PdPbI2. Values from VASP.

Output
**V**: 39.6 Å³ per atom
**Total moment**: 0.0 μB per cell
**Uncorrected formation energy**: -0.84 eV per atom

```
&SYSTEM
  ibrav = 0, nat = 8, ntyp = 4
/
ATOMIC_SPECIES
Ac 227.00 Ac.upf
Pd 106.42 Pd.upf
Pb 207.20 Pb.upf
I 126.90 I.upf
ATOMIC_POSITIONS crystal
Ac 0.000 0.715 0.745
Ac 0.000 0.285 0.255
Ac 0.500 0.694 0.292
Ac 0.500 0.306 0.708
Pd 0.000 0.500 0.500
Pb 0.500 0.500 0.000
I 0.000 0.000 0.000
I 0.500 0.000 0.500
CELL_PARAMETERS angstrom
4.569 0.000 0.000
0.000 8.543 -0.386
0.000 2.799 7.986
```

VASP calculation (PBE) on a relaxed structure of AcPrPbI. Values from VASP.

Output
**V**: 33.7 Å³ per atom
**Total moment**: 0.0 μB per cell
**Uncorrected formation energy**: -0.70 eV per atom

```
&SYSTEM
  ibrav = 0, nat = 4, ntyp = 4
/
ATOMIC_SPECIES
Pb 207.20 Pb.upf
Pr 140.91 Pr.upf
Ac 227.00 Ac.upf
I 126.90 I.upf
ATOMIC_POSITIONS crystal
Pb 0.500 0.500 0.500
Pr 0.250 0.250 0.250
Ac 0.750 0.750 0.750
I 0.000 0.000 0.000
CELL_PARAMETERS angstrom
5.755 0.000 0.000
2.877 4.984 0.000
2.877 1.661 4.699
```